No. 1
# Tl3Pd8Au2 (GGA-PBE, relaxed)
# energy of formation from the pure elements: 0.0555 eV per atom
data_Tl3Pd8Au2
_chemical_formula_sum 'Tl9 Pd24 Au6'
_cell_length_a 5.3454
_cell_length_b 5.3454
_cell_length_c 30.3794
_cell_angle_alpha 90.00
_cell_angle_beta 90.00
_cell_angle_gamma 120.00
_symmetry_space_group_name_H-M 'R -3 m'
_symmetry_Int_Tables_number 166
_symmetry_space_group_name_Hall '-R 3 2"'
loop_
_atom_site_label
_atom_site_type_symbol
_atom_site_fract_x
_atom_site_fract_y
_atom_site_fract_z
_atom_site_occupancy
Tl1 Tl 0.0000 0.0000 0.0000 1
Tl2 Tl 0.0000 0.0000 0.1826 1
Pd1 Pd 0.0000 0.0000 0.2714 1
Pd2 Pd 0.0014 0.5007 0.7687 1
Au1 Au 0.0000 0.0000 0.3598 1

---

No. 2
# PaCo2Re (GGA-PBE, relaxed)
# energy of formation from the pure elements: 0.3658 eV per atom
# offset from the most stable computed form: 0.447 eV per atom
data_PaCo2Re
_chemical_formula_sum 'Pa3 Co6 Re3'
_cell_length_a 2.8210
_cell_length_b 2.8210
_cell_length_c 26.7012
_cell_angle_alpha 90.00
_cell_angle_beta 90.00
_cell_angle_gamma 120.00
_symmetry_space_group_name_H-M 'R -3 m'
_symmetry_Int_Tables_number 166
_symmetry_space_group_name_Hall '-R 3 2"'
loop_
_atom_site_label
_atom_site_type_symbol
_atom_site_fract_x
_atom_site_fract_y
_atom_site_fract_z
_atom_site_occupancy
Pa1 Pa 0.0000 0.0000 0.0000 1
Co1 Co 0.0000 0.0000 0.2412 1
Re1 Re 0.0000 0.0000 0.5000 1

---

No. 3
# BaIn2SiRh (GGA-PBE, relaxed)
# uncorrected formation energy: -254 meV per atom
data_BaIn2SiRh
_chemical_formula_sum 'Ba1 In2 Si1 Rh1'
_cell_length_a 5.220
_cell_length_b 5.220
_cell_length_c 4.754
_cell_angle_alpha 90.00
_cell_angle_beta 90.00
_cell_angle_gamma 90.00
_symmetry_space_group_name_H-M 'P 4/m m m'
_symmetry_Int_Tables_number 123
_symmetry_space_group_name_Hall '-P 4 2'
loop_
_atom_site_label
_atom_site_type_symbol
_atom_site_fract_x
_atom_site_fract_y
_atom_site_fract_z
_atom_site_occupancy
Ba1 Ba 0.000 0.000 0.000 1
In1 In 0.000 0.500 0.500 1
Si1 Si 0.500 0.500 0.000 1
Rh1 Rh 0.500 0.500 0.500 1

---

No. 4
# La2Cu3Ni12Ge (GGA-PBE, relaxed)
# energy of formation from the pure elements: 0.1408 eV per atom
data_La2Cu3Ni12Ge
_chemical_formula_sum 'La6 Cu9 Ni36 Ge3'
_cell_length_a 6.0450
_cell_length_b 6.0450
_cell_length_c 25.4481
_cell_angle_alpha 90.00
_cell_angle_beta 90.00
_cell_angle_gamma 120.00
_symmetry_space_group_name_H-M 'R -3 m'
_symmetry_Int_Tables_number 166
_symmetry_space_group_name_Hall '-R 3 2"'
loop_
_atom_site_label
_atom_site_type_symbol
_atom_site_fract_x
_atom_site_fract_y
_atom_site_fract_z
_atom_site_occupancy
La1 La 0.0000 0.0000 0.1545 1
Cu1 Cu 0.0000 0.5000 0.0000 1
Ni1 Ni 0.0559 0.5279 0.0948 1
Ni2 Ni 0.0746 0.5373 0.6160 1
Ge1 Ge 0.0000 0.0000 0.5000 1

---

No. 5
# Rb2TlCd3Au4 (GGA-PBE, relaxed)
# energy of formation from the pure elements: -0.2025 eV per atom
data_Rb2TlCd3Au4
_chemical_formula_sum 'Rb2 Tl1 Cd3 Au4'
_cell_length_a 5.046
_cell_length_b 5.046
_cell_length_c 11.245
_cell_angle_alpha 90.00
_cell_angle_beta 90.00
_cell_angle_gamma 90.00
_symmetry_space_group_name_H-M 'P -4 m 2'
_symmetry_Int_Tables_number 115
loop_
_symmetry_equiv_pos_as_xyz
'x,y,z'
'y,-x,-z'
'-x,-y,z'
'-y,x,-z'
'-x,y,z'
'-y,-x,-z'
'x,-y,z'
'y,x,-z'
loop_
_atom_site_label
_atom_site_type_symbol
_atom_site_fract_x
_atom_site_fract_y
_atom_site_fract_z
_atom_site_occupancy
Rb1 Rb 0.000 0.500 0.238 1
Tl1 Tl 0.000 0.000 0.500 1
Cd1 Cd 0.000 0.500 0.881 1
Cd2 Cd 0.500 0.500 0.500 1
Au1 Au 0.000 0.000 0.000 1
Au2 Au 0.000 0.500 0.632 1
Au3 Au 0.500 0.500 0.000 1

---

No. 6
# K4Tl5Cd (GGA-PBE, relaxed)
# energy of formation from the pure elements: -0.0593 eV per atom
data_K4Tl5Cd
_chemical_formula_sum 'K8 Tl10 Cd2'
_cell_length_a 10.507
_cell_length_b 10.507
_cell_length_c 7.398
_cell_angle_alpha 90.00
_cell_angle_beta 90.00
_cell_angle_gamma 90.00
_symmetry_space_group_name_H-M 'I 4'
_symmetry_Int_Tables_number 79
loop_
_symmetry_equiv_pos_as_xyz
'x,y,z'
'-y,x,z'
'-x,-y,z'
'y,-x,z'
'x+1/2,y+1/2,z+1/2'
'-y+1/2,x+1/2,z+1/2'
'-x+1/2,-y+1/2,z+1/2'
'y+1/2,-x+1/2,z+1/2'
loop_
_atom_site_label
_atom_site_type_symbol
_atom_site_fract_x
_atom_site_fract_y
_atom_site_fract_z
_atom_site_occupancy
K1 K 0.065 0.306 0.000 1
Tl1 Tl 0.000 0.000 0.804 1
Tl2 Tl 0.077 0.204 0.499 1
Cd1 Cd 0.000 0.000 0.205 1

---

No. 7
# EuLu2Ir (GGA-PBE, relaxed)
# energy of formation from the pure elements: -0.4330 eV per atom
# offset from the most stable computed form: 0.043 eV per atom
data_EuLu2Ir
_chemical_formula_sum 'Eu3 Lu6 Ir3'
_cell_length_a 4.0320
_cell_length_b 4.0320
_cell_length_c 27.0846
_cell_angle_alpha 90.00
_cell_angle_beta 90.00
_cell_angle_gamma 120.00
_symmetry_space_group_name_H-M 'R -3 m'
_symmetry_Int_Tables_number 166
_symmetry_space_group_name_Hall '-R 3 2"'
loop_
_atom_site_label
_atom_site_type_symbol
_atom_site_fract_x
_atom_site_fract_y
_atom_site_fract_z
_atom_site_occupancy
Eu1 Eu 0.0000 0.0000 0.0000 1
Lu1 Lu 0.0000 0.0000 0.2176 1
Ir1 Ir 0.0000 0.0000 0.5000 1

---

No. 8
# DyMgTlPb (GGA-PBE, relaxed)
# energy of formation from the pure elements: -0.3058 eV per atom
# offset from the most stable computed form: 0.000 eV per atom
data_DyMgTlPb
_chemical_formula_sum 'Dy1 Mg1 Tl1 Pb1'
_cell_length_a 4.440
_cell_length_b 4.750
_cell_length_c 4.959
_cell_angle_alpha 90.00
_cell_angle_beta 90.00
_cell_angle_gamma 90.00
_symmetry_space_group_name_H-M 'P m m m'
_symmetry_Int_Tables_number 47
loop_
_symmetry_equiv_pos_as_xyz
'x,y,z'
'-x,-y,-z'
'-x,-y,z'
'x,y,-z'
'x,-y,-z'
'-x,y,z'
'-x,y,-z'
'x,-y,z'
loop_
_atom_site_label
_atom_site_type_symbol
_atom_site_fract_x
_atom_site_fract_y
_atom_site_fract_z
_atom_site_occupancy
Dy1 Dy 0.000 0.000 0.000 1
Mg1 Mg 0.000 0.500 0.500 1
Tl1 Tl 0.500 0.000 0.500 1
Pb1 Pb 0.500 0.500 0.000 1

---

no.,total magnetization (μB/atom),DOS at the Fermi energy (states/eV/cell),raw total energy (Ry/atom)
1,0.00,21.4,-0.3080
2,0.37,15.5,-0.6375
3,0.00,5.7,-0.3152
4,0.00,65.0,-0.3822
5,0.00,5.3,-0.1630
6,0.00,15.3,-0.1303
7,1.94,9.2,-0.5496
8,0.00,1.6,-0.2480